A relaxed KTc3O crystal. Source: Alexandria, functional PBE-GGA.

Results
Magnetic moment = 1.002 μB/atom
ΔE to the lowest computed polymorph = 2728 meV per atom
E_tot = -3.723 eV per atom

a = 4.5297 Å, b = 4.5297 Å, c = 4.5297 Å
α = 90.00°, β = 90.00°, γ = 90.00°
Space group Pm-3m (No. 221)
Asymmetric unit:
1 K 0.0000 0.0000 0.0000 [1 per cell]
2 Tc 0.0000 0.0000 0.5000 [3 per cell]
3 O 0.5000 0.5000 0.5000 [1 per cell]



A relaxed AlCuP2 crystal. Source: Alexandria, functional PBE-GGA.

Results
Magnetic moment = 0.000 μB/atom
Formation enthalpy at 0 K = -0.067 eV/atom
E_tot = -4.732 eV per atom

a = 3.4906 Å, b = 3.4906 Å, c = 4.9877 Å
α = 90.00°, β = 90.00°, γ = 90.00°
Space group P4/mmm (No. 123)
Asymmetric unit:
1 Al 0.0000 0.0000 0.0000 [1 per cell]
2 Cu 0.5000 0.5000 0.5000 [1 per cell]
3 P 0.0000 0.0000 0.5000 [1 per cell]
4 P 0.5000 0.5000 0.0000 [1 per cell]



A relaxed Mg2AlW crystal. Source: Alexandria, functional PBE-GGA.

Results
Magnetic moment = 0.000 μB/atom
Formation enthalpy at 0 K = 0.194 eV/atom
E_tot = -4.778 eV per atom

a = 2.8120 Å, b = 2.8120 Å, c = 9.1484 Å
α = 90.00°, β = 90.00°, γ = 90.00°
Space group P4mm (No. 99)
Asymmetric unit:
1 Mg 0.0000 0.0000 0.0000 [1 per cell]
2 Mg 0.5000 0.5000 0.2860 [1 per cell]
3 Al 0.5000 0.5000 0.7485 [1 per cell]
4 W 0.0000 0.0000 0.5313 [1 per cell]



A relaxed AcNpGa2 crystal. Source: Alexandria, functional PBE-GGA.

Results
Magnetic moment = 1.070 μB/atom
Formation enthalpy at 0 K = -0.134 eV/atom
E_tot = -5.910 eV per atom

a = 3.7297 Å, b = 3.7297 Å, c = 7.4330 Å
α = 90.00°, β = 90.00°, γ = 90.00°
Space group P4/mmm (No. 123)
Asymmetric unit:
1 Ac 0.0000 0.0000 0.0000 [1 per cell]
2 Np 0.0000 0.0000 0.5000 [1 per cell]
3 Ga 0.5000 0.5000 0.2809 [2 per cell]